# CsSb2TeMo (SCAN, single point on PBEsol structure)
data_CsSb2TeMo
_chemical_formula_sum 'Cs1 Sb2 Te1 Mo1'
_symmetry_space_group_name_H-M 'P 1'
_symmetry_Int_Tables_number 1
_cell_length_a 5.252
_cell_length_b 5.252
_cell_length_c 5.608
_cell_angle_alpha 90.00
_cell_angle_beta 90.00
_cell_angle_gamma 90.00
loop_
_symmetry_equiv_pos_as_xyz
'x,y,z'
loop_
_atom_site_label
_atom_site_fract_x
_atom_site_fract_y
_atom_site_fract_z
Sb1 0.500 0.000 0.000
Sb2 0.000 0.500 0.000
Cs1 0.500 0.500 0.500
Te1 0.000 0.000 0.500
Mo1 0.000 0.000 0.000
# ΔE_f (raw) = 40 kJ/mol of formula units

# P2C (SCAN, single point on PBEsol structure)
data_P2C
_chemical_formula_sum 'P4 C2'
_symmetry_space_group_name_H-M 'P 1'
_symmetry_Int_Tables_number 1
_cell_length_a 2.778
_cell_length_b 2.778
_cell_length_c 10.687
_cell_angle_alpha 90.00
_cell_angle_beta 90.00
_cell_angle_gamma 120.00
loop_
_symmetry_equiv_pos_as_xyz
'x,y,z'
loop_
_atom_site_label
_atom_site_fract_x
_atom_site_fract_y
_atom_site_fract_z
P1 0.000 0.000 0.631
P2 0.000 0.000 0.869
P3 0.000 0.000 0.131
P4 0.000 0.000 0.369
C1 0.333 0.667 0.250
C2 0.667 0.333 0.750
# Excess energy over the best structure of this formula in the dataset = 651 meV per atom
# DFT formation energy = 1.3693 eV/atom

# Cu4Ir3 (SCAN, single point on PBEsol structure)
data_Cu4Ir3
_chemical_formula_sum 'Cu4 Ir3'
_symmetry_space_group_name_H-M 'P 1'
_symmetry_Int_Tables_number 1
_cell_length_a 2.697
_cell_length_b 2.697
_cell_length_c 12.287
_cell_angle_alpha 96.30
_cell_angle_beta 96.30
_cell_angle_gamma 90.00
loop_
_symmetry_equiv_pos_as_xyz
'x,y,z'
loop_
_atom_site_label
_atom_site_fract_x
_atom_site_fract_y
_atom_site_fract_z
Cu1 0.428 0.428 0.856
Cu2 0.572 0.572 0.144
Cu3 0.862 0.862 0.725
Cu4 0.138 0.138 0.275
Ir1 0.287 0.287 0.575
Ir2 0.000 0.000 0.000
Ir3 0.713 0.713 0.425
# DFT formation energy = 0.0946 eV/atom

# Hg5Pb (SCAN, single point on PBEsol structure)
data_Hg5Pb
_chemical_formula_sum 'Hg5 Pb1'
_symmetry_space_group_name_H-M 'P 1'
_symmetry_Int_Tables_number 1
_cell_length_a 5.953
_cell_length_b 5.953
_cell_length_c 5.953
_cell_angle_alpha 60.00
_cell_angle_beta 60.00
_cell_angle_gamma 60.00
loop_
_symmetry_equiv_pos_as_xyz
'x,y,z'
loop_
_atom_site_label
_atom_site_fract_x
_atom_site_fract_y
_atom_site_fract_z
Hg1 0.625 0.625 0.625
Hg2 0.625 0.625 0.125
Hg3 0.250 0.250 0.250
Hg4 0.625 0.125 0.625
Hg5 0.125 0.625 0.625
Pb1 0.000 0.000 0.000
# Excess energy over the best structure of this formula in the dataset = 73 meV per atom
# DFT formation energy = 0.1071 eV/atom

# OsRu2Pb (SCAN, single point on PBEsol structure)
data_OsRu2Pb
_chemical_formula_sum 'Os1 Ru2 Pb1'
_symmetry_space_group_name_H-M 'P 1'
_symmetry_Int_Tables_number 1
_cell_length_a 2.880
_cell_length_b 4.426
_cell_length_c 4.930
_cell_angle_alpha 90.00
_cell_angle_beta 90.00
_cell_angle_gamma 90.00
loop_
_symmetry_equiv_pos_as_xyz
'x,y,z'
loop_
_atom_site_label
_atom_site_fract_x
_atom_site_fract_y
_atom_site_fract_z
Os1 0.500 0.000 0.571
Ru1 0.000 0.000 0.013
Ru2 0.000 0.500 0.707
Pb1 0.500 0.500 0.208
# DFT formation energy = 0.7032 eV/atom

# Ba2MgAu (SCAN, single point on PBEsol structure)
data_Ba2MgAu
_chemical_formula_sum 'Ba2 Mg1 Au1'
_symmetry_space_group_name_H-M 'P 1'
_symmetry_Int_Tables_number 1
_cell_length_a 4.756
_cell_length_b 4.888
_cell_length_c 6.756
_cell_angle_alpha 111.21
_cell_angle_beta 90.00
_cell_angle_gamma 90.00
loop_
_symmetry_equiv_pos_as_xyz
'x,y,z'
loop_
_atom_site_label
_atom_site_fract_x
_atom_site_fract_y
_atom_site_fract_z
Ba1 0.000 0.107 0.215
Ba2 0.500 0.394 0.789
Au1 0.500 0.694 0.388
Mg1 0.000 0.806 0.612
# DFT formation energy = -0.4716 eV/atom

# Mg5Tl (SCAN, single point on PBEsol structure)
data_Mg5Tl
_chemical_formula_sum 'Mg5 Tl1'
_symmetry_space_group_name_H-M 'P 1'
_symmetry_Int_Tables_number 1
_cell_length_a 3.275
_cell_length_b 3.275
_cell_length_c 12.898
_cell_angle_alpha 90.00
_cell_angle_beta 90.00
_cell_angle_gamma 90.00
loop_
_symmetry_equiv_pos_as_xyz
'x,y,z'
loop_
_atom_site_label
_atom_site_fract_x
_atom_site_fract_y
_atom_site_fract_z
Mg1 0.500 0.500 0.834
Mg2 0.500 0.500 0.166
Mg3 0.000 0.000 0.000
Mg4 0.000 0.000 0.667
Mg5 0.000 0.000 0.333
Tl1 0.500 0.500 0.500
# Excess energy over the best structure of this formula in the dataset = 59 meV per atom
# DFT formation energy = -0.0160 eV/atom

# SrCaPb (SCAN, single point on PBEsol structure)
data_SrCaPb
_chemical_formula_sum 'Sr1 Ca1 Pb1'
_symmetry_space_group_name_H-M 'P 1'
_symmetry_Int_Tables_number 1
_cell_length_a 3.939
_cell_length_b 3.939
_cell_length_c 7.500
_cell_angle_alpha 105.22
_cell_angle_beta 105.22
_cell_angle_gamma 90.00
loop_
_symmetry_equiv_pos_as_xyz
'x,y,z'
loop_
_atom_site_label
_atom_site_fract_x
_atom_site_fract_y
_atom_site_fract_z
Ca1 0.032 0.032 0.065
Pb1 0.659 0.659 0.318
Sr1 0.308 0.308 0.617
# DFT formation energy = -0.5324 eV/atom

# ReAs2P (SCAN, single point on PBEsol structure)
data_ReAs2P
_chemical_formula_sum 'Re2 As4 P2'
_symmetry_space_group_name_H-M 'P 1'
_symmetry_Int_Tables_number 1
_cell_length_a 5.604
_cell_length_b 5.604
_cell_length_c 6.618
_cell_angle_alpha 115.05
_cell_angle_beta 115.05
_cell_angle_gamma 90.00
loop_
_symmetry_equiv_pos_as_xyz
'x,y,z'
loop_
_atom_site_label
_atom_site_fract_x
_atom_site_fract_y
_atom_site_fract_z
P1 0.500 0.500 0.000
P2 0.750 0.250 0.500
As1 0.371 0.875 0.250
As2 0.879 0.375 0.250
As3 0.125 0.121 0.750
As4 0.625 0.629 0.750
Re1 0.250 0.750 0.500
Re2 0.000 0.000 0.000
# DFT formation energy = 0.5035 eV/atom

# CdBi2B2 (SCAN, single point on PBEsol structure)
data_CdBi2B2
_chemical_formula_sum 'Cd2 Bi4 B4'
_symmetry_space_group_name_H-M 'P 1'
_symmetry_Int_Tables_number 1
_cell_length_a 3.764
_cell_length_b 7.342
_cell_length_c 7.342
_cell_angle_alpha 90.00
_cell_angle_beta 90.00
_cell_angle_gamma 90.00
loop_
_symmetry_equiv_pos_as_xyz
'x,y,z'
loop_
_atom_site_label
_atom_site_fract_x
_atom_site_fract_y
_atom_site_fract_z
Bi1 0.500 0.227 0.273
Bi2 0.500 0.773 0.727
Bi3 0.500 0.727 0.227
Bi4 0.500 0.273 0.773
B1 0.000 0.078 0.422
B2 0.000 0.578 0.078
B3 0.000 0.922 0.578
B4 0.000 0.422 0.922
Cd1 0.000 0.500 0.500
Cd2 0.000 0.000 0.000
# DFT formation energy = 0.8704 eV/atom

# NbAlI2O (SCAN, single point on PBEsol structure)
data_NbAlI2O
_chemical_formula_sum 'Nb1 Al1 I2 O1'
_symmetry_space_group_name_H-M 'P 1'
_symmetry_Int_Tables_number 1
_cell_length_a 3.436
_cell_length_b 5.567
_cell_length_c 5.567
_cell_angle_alpha 90.00
_cell_angle_beta 90.00
_cell_angle_gamma 90.00
loop_
_symmetry_equiv_pos_as_xyz
'x,y,z'
loop_
_atom_site_label
_atom_site_fract_x
_atom_site_fract_y
_atom_site_fract_z
Nb1 0.500 0.500 0.500
I1 0.000 0.500 0.000
I2 0.000 0.000 0.500
Al1 0.000 0.000 0.000
O1 0.500 0.000 0.000
# ΔE_f (raw) = -216 kJ/mol of formula units

# Al4SiRh (SCAN, single point on PBEsol structure)
data_Al4SiRh
_chemical_formula_sum 'Al4 Si1 Rh1'
_symmetry_space_group_name_H-M 'P 1'
_symmetry_Int_Tables_number 1
_cell_length_a 5.073
_cell_length_b 5.073
_cell_length_c 5.073
_cell_angle_alpha 60.00
_cell_angle_beta 60.00
_cell_angle_gamma 60.00
loop_
_symmetry_equiv_pos_as_xyz
'x,y,z'
loop_
_atom_site_label
_atom_site_fract_x
_atom_site_fract_y
_atom_site_fract_z
Si1 0.000 0.000 0.000
Al1 0.375 0.375 0.876
Al2 0.375 0.375 0.375
Al3 0.375 0.876 0.375
Al4 0.876 0.375 0.375
Rh1 0.750 0.750 0.750
# ΔE_f (raw) = 103 kJ/mol of formula units